(1)
First-principles (GGA-PBE) data for a relaxed AcTb3Pr12 crystal, as listed in the Alexandria database.

Geometry as extended XYZ:
```
16
Lattice="-0.501 4.376 2.830 -4.524 1.046 -2.418 -10.345 -10.703 14.722" Properties=species:S:1:pos:R:3 pbc="T T T"
Tb -2.623 -2.713 3.732
Pr -7.685 -2.640 7.567
Pr -11.255 -8.782 11.590
Pr -5.148 -0.016 3.956
Pr -1.602 0.790 3.338
Pr -8.708 -6.146 7.965
Pr -4.149 -1.846 6.963
Pr -6.697 -4.481 10.589
Pr -6.161 -3.511 4.339
Ac 0.000 0.000 0.000
Pr -3.613 -0.875 0.714
Tb -5.173 -5.351 7.361
Pr -10.222 -5.265 11.177
Pr -9.244 -7.117 14.214
Tb -7.723 -7.990 10.990
Pr -2.512 2.711 0.206
```

As for the crystal system: tetragonal. The calculation puts the total DFT energy (no corrections) at -75.08 eV per cell. The value obtained for the volume is 35.86 A^3/atom. As for the density of states at the Fermi level: 1.625 states/eV/atom. Its space group is P4/mmm, No. 123. The calculation puts the energy of formation from the pure elements at 0.27 eV per formula unit.

=====

(2)
First-principles (GGA-PBE) data for a relaxed AcTb2Pr8 crystal, as listed in the Alexandria database.

Geometry as extended XYZ:
```
11
Lattice="6.466 2.009 1.524 2.192 9.959 3.212 2.192 5.775 8.727" Properties=species:S:1:pos:R:3 pbc="T T T"
Pr 3.513 6.928 5.257
Ac 0.000 0.000 0.000
Tb 7.544 13.681 10.381
Pr 4.531 12.362 9.380
Pr 4.164 10.764 6.152
Tb 3.306 4.061 3.082
Pr 6.686 8.920 4.753
Pr 7.337 10.814 8.206
Pr 6.686 6.979 7.311
Pr 4.164 8.823 8.709
Pr 6.319 5.381 4.083
```

As for the crystal system: monoclinic. The calculation puts the total DFT energy (no corrections) at -49.89 eV per cell. The value obtained for the volume is 36.71 A^3/atom. As for the density of states at the Fermi level: 1.545 states/eV/atom. Its space group is C2/m, No. 12. The calculation puts the energy of formation from the pure elements at 1.72 eV per formula unit.

=====

(3)
First-principles (GGA-PBE) data for a relaxed AcTb2Pr crystal, as listed in the Alexandria database.

Geometry as extended XYZ:
```
4
Lattice="3.758 0.000 0.000 0.000 3.758 0.000 0.000 0.000 10.193" Properties=species:S:1:pos:R:3 pbc="T T T"
Tb 0.000 0.000 7.738
Ac 1.879 1.879 5.097
Pr 1.879 1.879 0.000
Tb 0.000 0.000 2.455
```

As for the crystal system: tetragonal. The calculation puts the total DFT energy (no corrections) at -17.98 eV per cell. The value obtained for the volume is 36.00 A^3/atom. As for the density of states at the Fermi level: 1.726 states/eV/atom. Its space group is P4/mmm, No. 123. The calculation puts the energy of formation from the pure elements at 0.17 eV per formula unit.

=====

(4)
First-principles (GGA-PBE) data for a relaxed Ac9TbPr2 crystal, as listed in the Alexandria database.

Geometry as extended XYZ:
```
12
Lattice="-2.274 2.336 -4.462 -4.912 0.054 2.531 3.341 15.028 6.166" Properties=species:S:1:pos:R:3 pbc="T T T"
Ac 0.534 8.682 0.852
Pr 2.232 10.038 4.118
Ac 1.654 13.720 2.919
Ac -1.362 11.230 3.152
Ac -0.587 3.644 -1.215
Ac -2.483 6.188 1.083
Pr 1.110 4.990 2.047
Ac -0.785 7.541 4.349
Ac 0.335 12.579 6.416
Tb 0.000 0.000 0.000
Ac -1.906 2.502 2.281
Ac -3.593 1.195 -0.965
```

As for the crystal system: tetragonal. The calculation puts the total DFT energy (no corrections) at -50.89 eV per cell. The value obtained for the volume is 42.21 A^3/atom. As for the density of states at the Fermi level: 1.686 states/eV/atom. Its space group is P4/mmm, No. 123. The calculation puts the energy of formation from the pure elements at 0.28 eV per formula unit.

=====

(5)
First-principles (GGA-PBE) data for a relaxed AcTb2Pr5 crystal, as listed in the Alexandria database.

Geometry as extended XYZ:
```
16
Lattice="-3.259 3.293 -2.430 1.761 -3.070 -6.522 -11.064 -9.764 1.610" Properties=species:S:1:pos:R:3 pbc="T T T"
Pr -6.563 -10.410 -5.303
Tb -9.968 -9.184 -4.707
Ac -5.532 -4.882 0.805
Pr -4.652 -6.417 -2.456
Pr -10.856 -7.637 -1.419
Pr -7.250 -6.766 -5.076
Pr -7.396 -8.833 -2.049
Pr -5.313 -2.775 -2.266
Tb -2.595 -0.357 -2.635
Tb -8.124 -5.245 -1.842
Pr -2.740 -2.424 0.391
Pr 0.000 0.000 0.000
Pr -1.907 -4.001 -2.863
Ac 0.880 -1.535 -3.261
Pr -1.706 -1.904 -5.923
Tb -4.439 -4.296 -5.500
```

As for the crystal system: orthorhombic. The calculation puts the total DFT energy (no corrections) at -74.23 eV per cell. The value obtained for the volume is 36.02 A^3/atom. As for the density of states at the Fermi level: 1.407 states/eV/atom. Its space group is Pbam, No. 55. The calculation puts the energy of formation from the pure elements at 0.15 eV per formula unit.

=====

(6)
First-principles (GGA-PBE) data for a relaxed Ac2TbPr3Te6 crystal, as listed in the Alexandria database.

Geometry as extended XYZ:
```
12
Lattice="7.927 -0.011 -0.003 -3.971 6.861 -0.003 -1.323 -2.291 7.470" Properties=species:S:1:pos:R:3 pbc="T T T"
Te -0.072 -0.125 5.513
Tb 0.000 0.000 0.000
Pr -2.507 4.488 3.731
Pr 1.317 2.280 3.731
Te -1.271 2.169 1.859
Te 2.514 -0.017 1.859
Te 3.904 2.390 5.604
Te 0.119 4.576 5.604
Ac 3.936 2.294 -0.003
Ac 0.020 4.556 -0.003
Te 2.705 4.684 1.950
Pr 5.140 0.071 3.731
```

As for the crystal system: monoclinic. As for the uncorrected formation energy: -1.428 eV/atom. The calculation puts the total DFT energy (no corrections) at -63.17 eV per cell. The value obtained for the volume is 33.82 A^3/atom. As for the density of states at the Fermi level: 0.571 states/eV/atom. Its space group is C2/m, No. 12.

=====

(7)
First-principles (GGA-PBE) data for a relaxed Ac2TbPrTe5 crystal, as listed in the Alexandria database.

Geometry as extended XYZ:
```
9
Lattice="5.525 0.000 0.000 0.000 5.525 0.000 0.000 0.000 11.887" Properties=species:S:1:pos:R:3 pbc="T T T"
Te 2.762 0.000 5.944
Pr 0.000 0.000 0.000
Tb 0.000 0.000 5.944
Te 2.762 2.762 0.000
Te 0.000 0.000 2.965
Te 0.000 0.000 8.922
Ac 2.762 2.762 8.275
Te 0.000 2.762 5.944
Ac 2.762 2.762 3.612
```

As for the crystal system: tetragonal. As for the uncorrected formation energy: -1.020 eV/atom. The calculation puts the total DFT energy (no corrections) at -42.51 eV per cell. The value obtained for the volume is 40.31 A^3/atom. As for the density of states at the Fermi level: 0.764 states/eV/atom. Its space group is P4/mmm, No. 123.

=====

(8)
First-principles (GGA-PBE) data for a relaxed Ac3TbPr4Te8 crystal, as listed in the Alexandria database.

Geometry as extended XYZ:
```
16
Lattice="9.213 0.000 0.000 0.000 9.157 -0.024 -4.607 -4.587 6.507" Properties=species:S:1:pos:R:3 pbc="T T T"
Te 0.000 4.646 3.169
Pr 0.000 0.000 0.000
Te 0.000 -0.078 3.195
Ac 4.607 4.579 -0.012
Tb 0.000 4.579 -0.012
Ac 2.303 2.285 3.241
Te -2.387 -2.286 6.450
Te 6.994 6.857 0.032
Te 4.607 4.649 3.288
Te 2.387 -2.286 6.450
Pr 2.303 -2.293 3.253
Te 4.607 -0.076 3.314
Pr 4.607 0.000 0.000
Te 2.220 6.857 0.032
Pr -2.303 -2.293 3.253
Ac -2.303 2.285 3.241
```

As for the crystal system: monoclinic. As for the uncorrected formation energy: -1.427 eV/atom. The calculation puts the total DFT energy (no corrections) at -84.05 eV per cell. The value obtained for the volume is 34.25 A^3/atom. As for the density of states at the Fermi level: 0.745 states/eV/atom. Its space group is C2/m, No. 12.